[1]
This record from Alexandria describes an optimized crystal structure of K2GeRhW. The functional is PBE.

Results
The calculated formation energy comes out at 1.468 eV per atom. Its magnetization is 4.856 μB/f.u.

Geometry as CIF:
```
data_K2GeRhW
_chemical_formula_sum 'K2 Ge1 Rh1 W1'
_cell_length_a 6.0715
_cell_length_b 6.0715
_cell_length_c 4.6713
_cell_angle_alpha 90.00
_cell_angle_beta 90.00
_cell_angle_gamma 90.00
_space_group_name_H-M_alt 'P 4/m m m'
_space_group_IT_number 123
_space_group_name_Hall '-P 4 2'
loop_
_atom_site_label
_atom_site_type_symbol
_atom_site_fract_x
_atom_site_fract_y
_atom_site_fract_z
_atom_site_occupancy
K1 K 0.0000 0.5000 0.0000 1
Ge1 Ge 0.0000 0.0000 0.5000 1
Rh1 Rh 0.0000 0.0000 0.0000 1
W1 W 0.5000 0.5000 0.5000 1
```

=====

[2]
This record from Alexandria describes an optimized crystal structure of K3GeRu. The functional is PBE.

Results
The calculated formation energy comes out at 1.302 eV per atom. Its magnetization is 2.309 μB/f.u.

Geometry as CIF:
```
data_K3GeRu
_chemical_formula_sum 'K3 Ge1 Ru1'
_cell_length_a 6.3338
_cell_length_b 6.3338
_cell_length_c 6.3338
_cell_angle_alpha 90.00
_cell_angle_beta 90.00
_cell_angle_gamma 90.00
_space_group_name_H-M_alt 'P m -3 m'
_space_group_IT_number 221
_space_group_name_Hall '-P 4 2 3'
loop_
_atom_site_label
_atom_site_type_symbol
_atom_site_fract_x
_atom_site_fract_y
_atom_site_fract_z
_atom_site_occupancy
K1 K 0.0000 0.0000 0.5000 1
Ge1 Ge 0.0000 0.0000 0.0000 1
Ru1 Ru 0.5000 0.5000 0.5000 1
```

=====

[3]
This record from Alexandria describes an optimized crystal structure of KGe2Ru2. The functional is PBE.

Results
The calculated formation energy comes out at -0.099 eV per atom. Its energy relative to the lowest polymorph listed for this composition is 0.00 eV/f.u. Its magnetization is 0.000 μB/f.u.

Geometry as CIF:
```
data_KGe2Ru2
_chemical_formula_sum 'K2 Ge4 Ru4'
_cell_length_a 4.3010
_cell_length_b 4.3010
_cell_length_c 11.2547
_cell_angle_alpha 90.00
_cell_angle_beta 90.00
_cell_angle_gamma 90.00
_space_group_name_H-M_alt 'I 4/m m m'
_space_group_IT_number 139
_space_group_name_Hall '-I 4 2'
loop_
_atom_site_label
_atom_site_type_symbol
_atom_site_fract_x
_atom_site_fract_y
_atom_site_fract_z
_atom_site_occupancy
K1 K 0.0000 0.0000 0.0000 1
Ge1 Ge 0.0000 0.0000 0.3527 1
Ru1 Ru 0.0000 0.5000 0.2500 1
```

=====

[4]
This record from Alexandria describes an optimized crystal structure of KGe2Ru2. The functional is PBE.

Results
The calculated formation energy comes out at 0.087 eV per atom. Its energy relative to the lowest polymorph listed for this composition is 0.93 eV/f.u. Its magnetization is 0.000 μB/f.u.

Geometry as CIF:
```
data_KGe2Ru2
_chemical_formula_sum 'K2 Ge4 Ru4'
_cell_length_a 7.6827
_cell_length_b 7.6827
_cell_length_c 2.8744
_cell_angle_alpha 90.00
_cell_angle_beta 90.00
_cell_angle_gamma 90.00
_space_group_name_H-M_alt 'P 4/m b m'
_space_group_IT_number 127
_space_group_name_Hall '-P 4 2ab'
loop_
_atom_site_label
_atom_site_type_symbol
_atom_site_fract_x
_atom_site_fract_y
_atom_site_fract_z
_atom_site_occupancy
K1 K 0.0000 0.0000 0.0000 1
Ge1 Ge 0.1474 0.3526 0.5000 1
Ru1 Ru 0.1380 0.6380 0.0000 1
```

=====

[5]
This record from Alexandria describes an optimized crystal structure of KGe3Ru. The functional is PBE.

Results
The calculated formation energy comes out at 0.192 eV per atom. Its energy relative to the lowest polymorph listed for this composition is 0.00 eV/f.u. Its magnetization is 2.389 μB/f.u.

Geometry as CIF:
```
data_KGe3Ru
_chemical_formula_sum 'K1 Ge3 Ru1'
_cell_length_a 4.9195
_cell_length_b 4.9195
_cell_length_c 4.9195
_cell_angle_alpha 90.00
_cell_angle_beta 90.00
_cell_angle_gamma 90.00
_space_group_name_H-M_alt 'P m -3 m'
_space_group_IT_number 221
_space_group_name_Hall '-P 4 2 3'
loop_
_atom_site_label
_atom_site_type_symbol
_atom_site_fract_x
_atom_site_fract_y
_atom_site_fract_z
_atom_site_occupancy
K1 K 0.0000 0.0000 0.0000 1
Ge1 Ge 0.0000 0.5000 0.5000 1
Ru1 Ru 0.5000 0.5000 0.5000 1
```

=====

[6]
This record from Alexandria describes an optimized crystal structure of KGe3Ru. The functional is PBE.

Results
The calculated formation energy comes out at 2.311 eV per atom. Its energy relative to the lowest polymorph listed for this composition is 10.59 eV/f.u. Its magnetization is 0.031 μB/f.u.

Geometry as CIF:
```
data_KGe3Ru
_chemical_formula_sum 'K1 Ge3 Ru1'
_cell_length_a 5.3112
_cell_length_b 5.3112
_cell_length_c 5.3112
_cell_angle_alpha 90.00
_cell_angle_beta 90.00
_cell_angle_gamma 90.00
_space_group_name_H-M_alt 'P m -3 m'
_space_group_IT_number 221
_space_group_name_Hall '-P 4 2 3'
loop_
_atom_site_label
_atom_site_type_symbol
_atom_site_fract_x
_atom_site_fract_y
_atom_site_fract_z
_atom_site_occupancy
K1 K 0.0000 0.0000 0.0000 1
Ge1 Ge 0.0000 0.0000 0.5000 1
Ru1 Ru 0.5000 0.5000 0.5000 1
```